No. 1
Entry from the Alexandria database: Ce2Ga6IrRu after structural relaxation (GGA-PBE).

a b c (Å): 6.7386 6.7375 6.7389
angles (deg): 59.99 60.01 90.00
Closest atoms and distances in Å follow each position.
Fractional coordinates of all 10 atoms:
Ga 0.2486 0.2486 0.0000  1 Ru 2.37, 1 Ir 2.40
Ce 0.2500 0.7500 0.5000  12 Ga 3.37
Ga 0.2486 0.7514 0.0000  1 Ru 2.37, 1 Ir 2.40
Ga 0.2486 0.2486 0.5028  1 Ru 2.37, 1 Ir 2.40
Ce 0.7500 0.2500 0.5000  12 Ga 3.37
Ga 0.7514 0.7514 0.4972  1 Ru 2.37, 1 Ir 2.40
Ru 0.0000 0.0000 0.0000  6 Ga 2.37
Ir 0.5000 0.5000 0.0000  6 Ga 2.40
Ga 0.7514 0.7514 0.0000  1 Ru 2.37, 1 Ir 2.40
Ga 0.7514 0.2486 0.0000  1 Ru 2.37, 1 Ir 2.40

Computed properties:
energy of formation = -0.359 eV per atom
DOS(E_F) = 19.08 states/eV/f.u.

***

No. 2
Entry from the Alexandria database: Ce2Ga3SbIr4 after structural relaxation (GGA-PBE).

a b c (Å): 4.3596 4.3596 10.2260
angles (deg): 90.00 90.00 90.00
Closest atoms and distances in Å follow each position.
Fractional coordinates of all 10 atoms:
Ir 0.0000 0.5000 0.3633  3 Ga 2.45-2.59, 2 Sb 2.59
Ir 0.5000 0.0000 0.6367  3 Ga 2.45-2.59, 2 Sb 2.59
Ga 0.0000 0.5000 0.1242  5 Ir 2.45-2.52
Ce 0.5000 0.0000 0.2352  8 Ir 3.25-3.35, 6 Ga 3.28-3.48, 2 Sb 3.48
Ce 0.0000 0.5000 0.7648  8 Ir 3.25-3.35, 6 Ga 3.28-3.48, 2 Sb 3.48
Ga 0.5000 0.0000 0.8758  5 Ir 2.45-2.52
Ir 0.0000 0.0000 0.0000  4 Ga 2.52
Ir 0.5000 0.5000 0.0000  4 Ga 2.52
Ga 0.0000 0.0000 0.5000  4 Ir 2.59
Sb 0.5000 0.5000 0.5000  4 Ir 2.59

Computed properties:
DOS(E_F) = 9.76 states/eV/f.u.
E_form (uncorrected) = -6.7 eV/f.u.

***

No. 3
Entry from the Alexandria database: Ce2ScGa3Ir4 after structural relaxation (GGA-PBE).

a b c (Å): 4.1694 4.1694 11.0609
angles (deg): 90.00 90.00 90.00
Closest atoms and distances in Å follow each position.
Fractional coordinates of all 10 atoms:
Ga 0.0000 0.0000 0.5000  4 Ir 2.67, 4 Sc 2.95
Ir 0.5000 0.5000 0.0000  4 Ga 2.49
Ga 0.5000 0.0000 0.8765  5 Ir 2.49-2.50
Ga 0.0000 0.5000 0.1235  5 Ir 2.49-2.50
Ce 0.0000 0.5000 0.7697  4 Ga 3.18, 8 Ir 3.23-3.29
Ir 0.0000 0.0000 0.0000  4 Ga 2.49
Ir 0.0000 0.5000 0.3495  3 Ga 2.50-2.67, 2 Sc 2.67
Sc 0.5000 0.5000 0.5000  4 Ir 2.67, 4 Ga 2.95
Ir 0.5000 0.0000 0.6505  3 Ga 2.50-2.67, 2 Sc 2.67
Ce 0.5000 0.0000 0.2303  4 Ga 3.18, 8 Ir 3.23-3.29

Computed properties:
energy of formation = -0.733 eV per atom
DOS(E_F) = 14.12 states/eV/f.u.

***

No. 4
Entry from the Alexandria database: CeGa2SiIr2 after structural relaxation (GGA-PBE).

a b c (Å): 4.5576 4.5576 5.5824
angles (deg): 90.00 90.00 90.00
Closest atoms and distances in Å follow each position.
Fractional coordinates of all 6 atoms:
Ir 0.5000 0.0000 0.0000  2 Si 2.28
Si 0.0000 0.0000 0.0000  4 Ir 2.28
Ga 0.5000 0.5000 0.7369  2 Ga 2.64-2.94, 4 Ir 2.71
Ce 0.0000 0.0000 0.5000  2 Si 2.79
Ir 0.0000 0.5000 0.0000  2 Si 2.28
Ga 0.5000 0.5000 0.2631  2 Ga 2.64-2.94, 4 Ir 2.71

Computed properties:
DOS(E_F) = 11.89 states/eV/f.u.
E_form (uncorrected) = -2.1 eV/f.u.

***

No. 5
Entry from the Alexandria database: Ce2Ga4Si2Ir after structural relaxation (GGA-PBE).

a b c (Å): 6.1850 6.1850 6.1850
angles (deg): 90.51 119.70 119.70
Closest atoms and distances in Å follow each position.
Fractional coordinates of all 9 atoms:
Ir 0.0000 0.0000 0.0000  2 Si 2.43, 4 Ga 2.52
Ga 0.0000 0.7131 0.2869  1 Ir 2.52, 2 Ga 2.65, 2 Si 2.68
Ga 0.5739 0.2869 0.2869  1 Ir 2.52, 2 Ga 2.65, 2 Si 2.68
Ga 0.0000 0.2869 0.7131  1 Ir 2.52, 2 Ga 2.65, 2 Si 2.68
Si 0.0000 0.2795 0.2795  1 Ir 2.43, 4 Ga 2.68
Ce 0.5000 0.7500 0.2500  8 Ga 3.11, 4 Si 3.12
Ga 0.4261 0.7131 0.7131  1 Ir 2.52, 2 Ga 2.65, 2 Si 2.68
Si 0.0000 0.7205 0.7205  1 Ir 2.43, 4 Ga 2.68
Ce 0.5000 0.2500 0.7500  8 Ga 3.11, 4 Si 3.12

Computed properties:
DOS(E_F) = 9.05 states/eV/f.u.
E_form (uncorrected) = -5.5 eV/f.u.

***

No. 6
Entry from the Alexandria database: Ce2GaSiIr6 after structural relaxation (GGA-PBE).

a b c (Å): 6.4638 6.4638 6.4638
angles (deg): 60.00 60.00 90.00
Closest atoms and distances in Å follow each position.
Fractional coordinates of all 10 atoms:
Si 0.0000 0.0000 0.0000  6 Ir 2.23
Ir 0.2443 0.7557 0.0000  1 Si 2.23, 1 Ga 2.34
Ce 0.2500 0.7500 0.5000  12 Ir 3.23
Ir 0.7557 0.7557 0.0000  1 Si 2.23, 1 Ga 2.34
Ga 0.5000 0.5000 0.0000  6 Ir 2.34
Ir 0.2443 0.2443 0.0000  1 Si 2.23, 1 Ga 2.34
Ir 0.7557 0.2443 0.0000  1 Si 2.23, 1 Ga 2.34
Ir 0.2443 0.2443 0.5113  1 Si 2.23, 1 Ga 2.34
Ir 0.7557 0.7557 0.4887  1 Si 2.23, 1 Ga 2.34
Ce 0.7500 0.2500 0.5000  12 Ir 3.23

Computed properties:
DOS(E_F) = 12.16 states/eV/f.u.
E_form (uncorrected) = -0.8 eV/f.u.

***

No. 7
Entry from the Alexandria database: Ce2Ga2Si4Ir after structural relaxation (GGA-PBE).

a b c (Å): 6.1226 6.1226 6.1226
angles (deg): 89.95 120.03 120.03
Closest atoms and distances in Å follow each position.
Fractional coordinates of all 9 atoms:
Si 0.0000 0.2831 0.7169  1 Ir 2.45, 2 Ga 2.61, 2 Si 2.66
Si 0.0000 0.7169 0.2831  1 Ir 2.45, 2 Ga 2.61, 2 Si 2.66
Ga 0.0000 0.7093 0.7093  1 Ir 2.52, 4 Si 2.61
Ce 0.5000 0.7500 0.2500  8 Si 3.07, 4 Ga 3.08
Si 0.4339 0.7169 0.7169  1 Ir 2.45, 2 Ga 2.61, 2 Si 2.66
Si 0.5661 0.2831 0.2831  1 Ir 2.45, 2 Ga 2.61, 2 Si 2.66
Ir 0.0000 0.0000 0.0000  4 Si 2.45, 2 Ga 2.52
Ga 0.0000 0.2907 0.2907  1 Ir 2.52, 4 Si 2.61
Ce 0.5000 0.2500 0.7500  8 Si 3.07, 4 Ga 3.08

Computed properties:
DOS(E_F) = 11.53 states/eV/f.u.
E_form (uncorrected) = -5.2 eV/f.u.

***

No. 8
Entry from the Alexandria database: Ce2GaSi2Ir5 after structural relaxation (GGA-PBE).

a b c (Å): 3.6167 9.7129 9.7129
angles (deg): 90.00 90.00 90.00
Closest atoms and distances in Å follow each position.
Fractional coordinates of all 20 atoms:
Ir 0.5000 0.7864 0.9331  2 Si 2.47
Ir 0.5000 0.5669 0.7136  2 Si 2.47
Si 0.0000 0.3777 0.1223  6 Ir 2.47, 1 Ce 2.75
Ir 0.5000 0.4331 0.2864  2 Si 2.47
Si 0.0000 0.6223 0.8777  6 Ir 2.47, 1 Ce 2.75
Ga 0.0000 0.5000 0.5000  8 Ir 2.83
Ir 0.5000 0.5000 0.0000  4 Si 2.47
Ir 0.5000 0.2864 0.5669  2 Si 2.47
Ce 0.0000 0.3227 0.8227  3 Si 2.75-2.96, 2 Ir 3.03
Ga 0.0000 0.0000 0.0000  8 Ir 2.83
Ir 0.5000 0.9331 0.2136  2 Si 2.47
Ir 0.5000 0.7136 0.4331  2 Si 2.47
Si 0.0000 0.8777 0.3777  6 Ir 2.47, 1 Ce 2.75
Ir 0.5000 0.0669 0.7864  2 Si 2.47
Si 0.0000 0.1223 0.6223  6 Ir 2.47, 1 Ce 2.75
Ce 0.0000 0.6773 0.1773  3 Si 2.75-2.96, 2 Ir 3.03
Ce 0.0000 0.1773 0.3227  3 Si 2.75-2.96, 2 Ir 3.03
Ce 0.0000 0.8227 0.6773  3 Si 2.75-2.96, 2 Ir 3.03
Ir 0.5000 0.0000 0.5000  4 Si 2.47
Ir 0.5000 0.2136 0.0669  2 Si 2.47

Computed properties:
DOS(E_F) = 9.34 states/eV/f.u.
E_form (uncorrected) = -6.9 eV/f.u.

***

What did the first record say?
Entry from the Alexandria database: Ce2Ga6IrRu after structural relaxation (GGA-PBE).

a b c (Å): 6.7386 6.7375 6.7389
angles (deg): 59.99 60.01 90.00
Closest atoms and distances in Å follow each position.
Fractional coordinates of all 10 atoms:
Ga 0.2486 0.2486 0.0000  1 Ru 2.37, 1 Ir 2.40
Ce 0.2500 0.7500 0.5000  12 Ga 3.37
Ga 0.2486 0.7514 0.0000  1 Ru 2.37, 1 Ir 2.40
Ga 0.2486 0.2486 0.5028  1 Ru 2.37, 1 Ir 2.40
Ce 0.7500 0.2500 0.5000  12 Ga 3.37
Ga 0.7514 0.7514 0.4972  1 Ru 2.37, 1 Ir 2.40
Ru 0.0000 0.0000 0.0000  6 Ga 2.37
Ir 0.5000 0.5000 0.0000  6 Ga 2.40
Ga 0.7514 0.7514 0.0000  1 Ru 2.37, 1 Ir 2.40
Ga 0.7514 0.2486 0.0000  1 Ru 2.37, 1 Ir 2.40

Computed properties:
energy of formation = -0.359 eV per atom
DOS(E_F) = 19.08 states/eV/f.u.